NdPaRhO6, optimized geometry, DFT GGA-PBE; raw formation energy = -22.0 eV/f.u.
1.0
5.464 0.000 0.000
-2.732 4.732 0.000
0.000 0.000 4.932
Nd Pa Rh O
1 1 1 6
direct
0.000 0.000 0.000 Nd
0.667 0.333 0.500 Pa
0.333 0.667 0.000 Rh
0.014 0.378 0.242 O
0.014 0.636 0.758 O
0.364 0.378 0.758 O
0.364 0.986 0.242 O
0.622 0.636 0.242 O
0.622 0.986 0.758 O


MnAlAs, optimized geometry, DFT GGA-PBE; E_form = -0.0733 eV/atom
1.0
2.996 0.000 0.000
-1.498 2.594 0.000
0.000 0.000 5.786
Mn Al As
1 1 1
direct
0.000 0.000 0.000 Mn
0.667 0.333 0.319 Al
0.333 0.667 0.718 As


CaP3S, optimized geometry, DFT GGA-PBE; raw formation energy = 1.2 eV/f.u.
1.0
4.637 0.000 0.000
0.000 4.637 0.000
0.000 0.000 4.637
Ca P S
1 3 1
direct
0.000 0.000 0.000 Ca
0.000 0.500 0.500 P
0.500 0.000 0.500 P
0.500 0.500 0.000 P
0.500 0.500 0.500 S


The DOS(E_F) results, record by record, are as follows: 7.6, 1.6, 3.9 states/eV/cell.